YTmSn2: relaxed, PBE-GGA.

Computed properties:
M_tot: 0.0 μB per formula unit
ΔE_f: -2.09 eV/f.u.
D(E_F): 0.520 states/eV per atom
symmetry: R-3m

a b c (Å): 9.1749 9.1749 9.1749
angles (deg): 24.09 24.09 24.09
Closest atoms and distances in Å follow each position.
Element x y z (fractional)
Y  0.0000  0.0000  0.0000  6 Sn 3.15
Tm  0.5000  0.5000  0.5000  6 Sn 3.12
Sn  0.2491  0.2491  0.2491  3 Tm 3.12, 3 Y 3.15
Sn  0.7509  0.7509  0.7509  3 Tm 3.12, 3 Y 3.15

---

YTm5Sn6: relaxed, PBE-GGA.

Computed properties:
M_tot: 0.0 μB per formula unit
ΔE_f: -7.11 eV/f.u.
D(E_F): 0.474 states/eV per atom
symmetry: C2/m

a b c (Å): 7.4906 7.4906 8.4621
angles (deg): 94.55 94.55 135.75
Closest atoms and distances in Å follow each position.
Element x y z (fractional)
Y  0.0000  0.0000  0.0000  6 Sn 3.16-3.18
Tm  0.0000  0.0000  0.5000  6 Sn 3.12-3.13
Tm  0.3316  0.6684  0.0000  6 Sn 3.12-3.15
Tm  0.3350  0.6650  0.5000  6 Sn 3.13-3.15
Tm  0.6650  0.3350  0.5000  6 Sn 3.13-3.15
Tm  0.6684  0.3316  0.0000  6 Sn 3.12-3.15
Sn  0.1656  0.8304  0.2524  5 Tm 3.12-3.15, 1 Y 3.16
Sn  0.1696  0.8344  0.7476  5 Tm 3.12-3.15, 1 Y 3.16
Sn  0.4922  0.4922  0.7518  5 Tm 3.12-3.14, 1 Y 3.18
Sn  0.5078  0.5078  0.2482  5 Tm 3.12-3.14, 1 Y 3.18
Sn  0.8304  0.1656  0.2524  5 Tm 3.12-3.15, 1 Y 3.16
Sn  0.8344  0.1696  0.7476  5 Tm 3.12-3.15, 1 Y 3.16

---

YTm4Sn3: relaxed, PBE-GGA.

Computed properties:
M_tot: 0.5 μB per formula unit
ΔE_f: -2.70 eV/f.u.
D(E_F): 0.954 states/eV per atom
symmetry: C2/m

a b c (Å): 13.6693 13.6693 4.6197
angles (deg): 99.65 99.65 17.17
Closest atoms and distances in Å follow each position.
Element x y z (fractional)
Y  0.0000  0.0000  0.0000  4 Sn 3.08, 4 Tm 3.44
Tm  0.0957  0.0957  0.5949  4 Sn 3.09-3.27, 2 Y 3.44
Tm  0.2014  0.2014  0.2003  5 Sn 3.09-3.12
Tm  0.7986  0.7986  0.7997  5 Sn 3.09-3.12
Tm  0.9043  0.9043  0.4051  4 Sn 3.09-3.27, 2 Y 3.44
Sn  0.3172  0.3172  0.3183  7 Tm 3.09-3.12
Sn  0.5000  0.5000  0.5000  4 Y 3.08, 4 Tm 3.27
Sn  0.6828  0.6828  0.6817  7 Tm 3.09-3.12

---

Y2TmSn: relaxed, PBE-GGA.

Computed properties:
M_tot: 0.0 μB per formula unit
ΔE_f: 0.19 eV/f.u.
ΔE to the lowest computed polymorph: 454 meV per atom
D(E_F): 1.114 states/eV per atom
symmetry: R-3m

a b c (Å): 12.0455 12.0455 12.0455
angles (deg): 16.75 16.75 16.75
Closest atoms and distances in Å follow each position.
Element x y z (fractional)
Y  0.0874  0.0874  0.0874  1 Sn 3.11, 3 Tm 3.47
Y  0.9126  0.9126  0.9126  1 Sn 3.11, 3 Tm 3.47
Tm  0.5000  0.5000  0.5000  6 Y 3.47, 6 Tm 3.51
Sn  0.0000  0.0000  0.0000  2 Y 3.11

---

Y5TmSn4: relaxed, PBE-GGA.

Computed properties:
M_tot: 0.0 μB per formula unit
ΔE_f: -3.45 eV/f.u.
D(E_F): 0.819 states/eV per atom
symmetry: C2/m

a b c (Å): 9.6418 9.6418 9.4687
angles (deg): 105.38 105.38 22.04
Closest atoms and distances in Å follow each position.
Element x y z (fractional)
Y  0.0000  0.0000  0.0000  4 Sn 2.99
Y  0.3256  0.3256  0.1401  3 Sn 3.11-3.15
Y  0.3343  0.3343  0.6885  4 Sn 3.05-3.18
Y  0.6657  0.6657  0.3115  4 Sn 3.05-3.18
Y  0.6744  0.6744  0.8599  3 Sn 3.11-3.15
Tm  0.0000  0.0000  0.5000  6 Sn 3.01-3.05
Sn  0.1671  0.1671  0.5861  1 Tm 3.05, 5 Y 3.05-3.18
Sn  0.4960  0.4960  0.2466  4 Y 2.99-3.11, 2 Tm 3.01
Sn  0.5040  0.5040  0.7534  4 Y 2.99-3.11, 2 Tm 3.01
Sn  0.8329  0.8329  0.4139  1 Tm 3.05, 5 Y 3.05-3.18

---

YTmSn2: relaxed, PBE-GGA.

Computed properties:
M_tot: 0.0 μB per formula unit
ΔE_f: -2.84 eV/f.u.
D(E_F): 0.631 states/eV per atom
symmetry: Amm2

a b c (Å): 4.2931 6.1012 6.1012
angles (deg): 42.88 90.00 90.00
Closest atoms and distances in Å follow each position.
Element x y z (fractional)
Y  0.0000  0.0000  0.0000  7 Sn 3.09-3.42
Tm  0.5000  0.2669  0.2669  7 Sn 3.09-3.42
Sn  0.0000  0.7281  0.7281  2 Sn 3.04, 1 Y 3.09, 4 Tm 3.13
Sn  0.5000  0.5385  0.5385  2 Sn 3.04, 1 Tm 3.09, 4 Y 3.13

---

What is the M_tot in the third record?
0.5 μB per formula unit

---

What is the M_tot in the second record?
0.0 μB per formula unit

---

Which formula does entry 4 have?
Y2TmSn

---

What is the formula in the first record?
YTmSn2